Entry 1:
Density functional theory data (PBE) for a relaxed structure of LiMgCu2Sb2.

Values from the calculation:
raw total energy: -20.8 eV/cell
SG: No. 99

abc: 4.2006 4.2006 6.3645
angles: 90.00 90.00 90.00
Atoms (fractional coordinates):
Cu: 0.5000 0.0000 0.0040
Cu: 0.0000 0.5000 0.0040
Li: 0.0000 0.0000 0.2865
Mg: 0.5000 0.5000 0.7090
Sb: 0.5000 0.5000 0.2611
Sb: 0.0000 0.0000 0.7354


Entry 2:
Density functional theory data (PBE) for a relaxed structure of LiMg2ScCu4.

Values from the calculation:
raw total energy: -27.1 eV/cell
SG: No. 123

abc: 4.4173 4.4173 6.1953
angles: 90.00 90.00 90.00
Atoms (fractional coordinates):
Cu: 0.5000 0.0000 0.2350
Cu: 0.0000 0.5000 0.2350
Cu: 0.5000 0.0000 0.7650
Cu: 0.0000 0.5000 0.7650
Li: 0.5000 0.5000 0.0000
Mg: 0.0000 0.0000 0.0000
Mg: 0.5000 0.5000 0.5000
Sc: 0.0000 0.0000 0.5000


Entry 3:
Density functional theory data (PBE) for a relaxed structure of LiMgCu4Si2.

Values from the calculation:
raw total energy: -30.3 eV/cell
SG: No. 123

abc: 4.1371 4.1371 5.8722
angles: 90.00 90.00 90.00
Atoms (fractional coordinates):
Cu: 0.5000 0.0000 0.2349
Cu: 0.0000 0.5000 0.2349
Cu: 0.5000 0.0000 0.7651
Cu: 0.0000 0.5000 0.7651
Li: 0.5000 0.5000 0.0000
Mg: 0.0000 0.0000 0.5000
Si: 0.0000 0.0000 0.0000
Si: 0.5000 0.5000 0.5000


Entry 4:
Density functional theory data (PBE) for a relaxed structure of Li4MgCu2Si.

Values from the calculation:
raw total energy: -23.3 eV/cell
SG: No. 115

abc: 4.2109 4.2109 6.1412
angles: 90.00 90.00 90.00
Atoms (fractional coordinates):
Cu: 0.5000 0.0000 0.2857
Cu: 0.0000 0.5000 0.7143
Li: 0.5000 0.5000 0.0000
Li: 0.0000 0.5000 0.2749
Li: 0.0000 0.0000 0.5000
Li: 0.5000 0.0000 0.7251
Mg: 0.0000 0.0000 0.0000
Si: 0.5000 0.5000 0.5000


Entry 5:
Density functional theory data (PBE) for a relaxed structure of LiMgCu4Sn2.

Values from the calculation:
raw total energy: -27.3 eV/cell
SG: No. 123

abc: 4.4737 4.4737 6.2653
angles: 90.00 90.00 90.00
Atoms (fractional coordinates):
Cu: 0.5000 0.0000 0.2413
Cu: 0.0000 0.5000 0.2413
Cu: 0.5000 0.0000 0.7587
Cu: 0.0000 0.5000 0.7587
Li: 0.5000 0.5000 0.0000
Mg: 0.0000 0.0000 0.5000
Sn: 0.0000 0.0000 0.0000
Sn: 0.5000 0.5000 0.5000


Entry 6:
Density functional theory data (PBE) for a relaxed structure of Li4MgCuSn2.

Values from the calculation:
raw total energy: -23.6 eV/cell
SG: No. 115

abc: 4.5655 4.5655 6.5765
angles: 90.00 90.00 90.00
Atoms (fractional coordinates):
Cu: 0.0000 0.0000 0.0000
Li: 0.5000 0.5000 0.0000
Li: 0.5000 0.0000 0.2196
Li: 0.0000 0.0000 0.5000
Li: 0.0000 0.5000 0.7804
Mg: 0.5000 0.5000 0.5000
Sn: 0.0000 0.5000 0.2318
Sn: 0.5000 0.0000 0.7682


Entry 7:
Density functional theory data (PBE) for a relaxed structure of LiMg2ZnCu4.

Values from the calculation:
raw total energy: -21.7 eV/cell
SG: No. 123

abc: 4.2870 4.2870 6.0261
angles: 90.00 90.00 90.00
Atoms (fractional coordinates):
Cu: 0.5000 0.0000 0.2496
Cu: 0.0000 0.5000 0.2496
Cu: 0.5000 0.0000 0.7504
Cu: 0.0000 0.5000 0.7504
Li: 0.0000 0.0000 0.5000
Mg: 0.0000 0.0000 0.0000
Mg: 0.5000 0.5000 0.5000
Zn: 0.5000 0.5000 0.0000


Entry 8:
Density functional theory data (PBE) for a relaxed structure of LiCuMoPt.

Values from the calculation:
raw total energy: -21.9 eV/cell
SG: No. 216
energy above the most stable polymorph in this dataset: 20.0 kJ per mole of atoms

abc: 4.2274 4.2274 4.2274
angles: 60.00 60.00 60.00
Atoms (fractional coordinates):
Cu: 0.2500 0.2500 0.2500
Li: 0.7500 0.7500 0.7500
Mo: 0.0000 0.0000 0.0000
Pt: 0.5000 0.5000 0.5000


> Among the records above, which one has the highest raw total energy?

LiMgCu2Sb2


> The lowest raw total energy belongs to which entry?

LiMgCu4Si2


> Look up the raw total energy of the seventh one.

-21.7 eV/cell